The following is a PBE calculation of crystalline LaCe2SmSe5 at its relaxed geometry, from Alexandria via LeMat-Bulk.

As for the crystal system: tetragonal. For the volume, the calculation gives 307.0 Å³ per cell. As for the total moment: 3.73 Bohr magnetons per cell. The formation energy from raw total energies is -1290 meV/atom.

The structure belongs to space group P4/mmm (No. 123); the cell edges are 5.2530, 5.2530 and 11.1240 Å and the angles 90.00°, 90.00° and 90.00°. The inequivalent atoms are La at (0.0000, 0.0000, 0.0000), Ce at (0.5000, 0.5000, 0.3245), Sm at (0.0000, 0.0000, 0.5000), Se at (0.0000, 0.0000, 0.2475), Se at (0.0000, 0.5000, 0.5000) and Se at (0.5000, 0.5000, 0.0000).

The following is a PBE calculation of crystalline Nd3SiGe3 at its relaxed geometry, from Alexandria via LeMat-Bulk.

As for the crystal system: monoclinic. For the volume, the calculation gives 660.4 Å³ per cell. As for the total moment: 0.00 Bohr magnetons per cell. The formation energy from raw total energies is -692 meV/atom.

The structure belongs to space group C2/m (No. 12); the cell edges are 11.0636, 4.3687 and 14.2394 Å and the angles 90.00°, 106.35° and 90.00°. The inequivalent atoms are Nd at (0.0161, 0.0000, 0.3796), Nd at (0.1068, 0.0000, 0.9243), Nd at (0.2339, 0.0000, 0.2315), Si at (0.2358, 0.5000, 0.3832), Ge at (0.0142, 0.5000, 0.2259), Ge at (0.1188, 0.5000, 0.0799) and Ge at (0.1518, 0.5000, 0.5408).

The following is a PBE calculation of crystalline Mo2Os5Ru at its relaxed geometry, from Alexandria via LeMat-Bulk.

As for the crystal system: tetragonal. For the volume, the calculation gives 234.0 Å³ per cell. As for the total moment: 0.00 Bohr magnetons per cell. The value obtained for the energy of formation is 0.017 eV/atom.

The structure belongs to space group I4/mmm (No. 139); the cell edges are 5.4880, 5.4880 and 7.7705 Å and the angles 90.00°, 90.00° and 90.00°. The inequivalent atoms are Mo at (0.0000, 0.5000, 0.0000), Os at (0.0000, 0.0000, 0.0000), Os at (0.2500, 0.2500, 0.2500) and Ru at (0.0000, 0.0000, 0.5000).

The following is a PBE calculation of crystalline Sr2PtNCl at its relaxed geometry, from Alexandria via LeMat-Bulk.

As for the crystal system: tetragonal. For the volume, the calculation gives 114.4 Å³ per cell. As for the total moment: 0.00 Bohr magnetons per cell. The formation energy from raw total energies is -1054 meV/atom.

The structure belongs to space group P4/mmm (No. 123); the cell edges are 5.3901, 5.3901 and 3.9369 Å and the angles 90.00°, 90.00° and 90.00°. The inequivalent atoms are Sr at (0.0000, 0.5000, 0.0000), Pt at (0.0000, 0.0000, 0.5000), N at (0.0000, 0.0000, 0.0000) and Cl at (0.5000, 0.5000, 0.5000).